Record 1
4
Lattice="5.4268 0.0000 0.0000 2.7134 4.6998 0.0000 2.7134 1.5666 4.4310" Properties=species:S:1:pos:R:3 comment="GGA-PBE AcErZnCd, relaxed" e_form_ev_per_atom=-0.221 pbc="T T T"
Er 0.0000 0.0000 0.0000
Cd 8.1402 4.6998 3.3232
Ac 5.4268 3.1332 2.2155
Zn 2.7134 1.5666 1.1077

***

Record 2
4
Lattice="6.2863 0.0094 0.0000 2.7691 5.6435 0.0000 -4.5277 -2.8265 3.3209" Properties=species:S:1:pos:R:3 comment="GGA-PBE BaScHg2, relaxed" e_form_ev_per_atom=-0.075 pbc="T T T"
Ba 3.1431 0.0047 1.6604
Hg 1.3846 2.8218 1.6604
Hg 0.0000 0.0000 0.0000
Sc 4.5277 2.8265 0.0000

***

Record 3
4
Lattice="-2.8493 -0.8433 -2.6543 -3.4389 -1.6065 1.2116 -4.5683 5.0673 0.3036" Properties=species:S:1:pos:R:3 comment="GGA-PBE SnSbP2, relaxed" raw_formation_energy_ev_per_fu=0.311 pbc="T T T"
Sn -5.4283 1.3088 -0.5695
Sb 0.0000 0.0000 0.0000
P -8.1430 1.9646 -0.8541
P -2.7135 0.6529 -0.2850

***

Calculated total magnetic moment in order - 0.00; 0.11; 0.00 μB per cell